Below is a crystal of Y5Fe relaxed with PBEsol, with properties calculated at the meta-GGA SCAN level.

Structure (POSCAR):
```
Y5Fe
1.0
3.4746 0.0000 0.0000
-1.7373 5.9586 -0.0032
0.0000 -3.0018 7.7003
Y Fe
5 1
direct
0.8728 0.7457 0.6251 Y
0.1272 0.2543 0.3749 Y
0.5000 0.0000 0.0000 Y
0.8350 0.6699 0.2151 Y
0.1650 0.3301 0.7849 Y
0.5000 0.0000 0.5000 Fe
```

Values from the calculation:
space group = C2/m (12)
E_tot = -1.921 Ry per atom